Record 1
Compound: LaAgHg
Source: the Alexandria database
Functional: GGA-PBEsol
Structure: optimized geometry

Calculated values
Density of states at the Fermi level ... 0.59 states/eV per atom
ΔH_f (0 K) ... -0.459 eV per atom

Unit cell a=4.8996 b=4.8996 c=3.4447 alpha=90.00 beta=90.00 gamma=120.00
With the nearest neighbours (Å) after each atom.
Space group P-6m2 (No. 187)
Unique sites:
La1 0.0000 0.0000 0.0000 (multiplicity 1)  6 Hg 3.31, 6 Ag 3.31, 2 La 3.44
Ag1 0.3333 0.6667 0.5000 (multiplicity 1)  3 Hg 2.83
Hg1 0.6667 0.3333 0.5000 (multiplicity 1)  3 Ag 2.83

Record 2
Compound: Sr2As2O7
Source: the Alexandria database
Functional: GGA-PBEsol
Structure: optimized geometry

Calculated values
Density of states at the Fermi level ... 0.00 states/eV per atom
E_form (uncorrected) ... -2.081 eV/atom

Unit cell a=7.1186 b=7.1186 c=25.6719 alpha=90.00 beta=90.00 gamma=90.00
With the nearest neighbours (Å) after each atom.
Space group P4_1 (No. 76)
Unique sites:
Sr1 0.0238 0.6499 0.0000 (multiplicity 4)  7 O 2.51-2.81
Sr2 0.1567 0.6026 0.3546 (multiplicity 4)  6 O 2.47-2.65
Sr3 0.2301 0.2656 0.1029 (multiplicity 4)  7 O 2.50-2.79
Sr4 0.2543 0.3757 0.7410 (multiplicity 4)  6 O 2.50-2.64
As1 0.1018 0.1853 0.9678 (multiplicity 4)  4 O 1.67-1.81
As2 0.1466 0.7634 0.1227 (multiplicity 4)  4 O 1.68-1.79
As3 0.2235 0.5125 0.2258 (multiplicity 4)  4 O 1.68-1.82
As4 0.2460 0.6464 0.6159 (multiplicity 4)  4 O 1.68-1.80
O1 0.0001 0.0091 0.7434 (multiplicity 4)  1 As 1.67
O2 0.0522 0.1734 0.5921 (multiplicity 4)  1 As 1.68
O3 0.0523 0.4743 0.2700 (multiplicity 4)  1 As 1.69
O4 0.0560 0.2820 0.3945 (multiplicity 4)  1 As 1.70
O5 0.0604 0.6544 0.4472 (multiplicity 4)  1 As 1.71
O6 0.0741 0.6271 0.1779 (multiplicity 4)  2 As 1.79-1.82
O7 0.0871 0.6118 0.5677 (multiplicity 4)  1 As 1.69
O8 0.1011 0.7805 0.6598 (multiplicity 4)  2 As 1.80-1.81
O9 0.2124 0.4190 0.8423 (multiplicity 4)  1 As 1.70
O10 0.2636 0.2996 0.0045 (multiplicity 4)  1 As 1.70
O11 0.2809 0.6198 0.0850 (multiplicity 4)  1 As 1.70
O12 0.3097 0.3197 0.1965 (multiplicity 4)  1 As 1.68
O13 0.3279 0.4588 0.6485 (multiplicity 4)  1 As 1.68
O14 0.3353 0.3855 0.4995 (multiplicity 4)  1 As 1.70